No. 1
Computed, not measured: a relaxed structure of RePb4Cl at the PBE-GGA level of DFT.

- M_tot: 3.78 μB/f.u.
- Energy relative to the elements, uncorrected: 0.936 eV/atom
- VASP energy: -3.9189 eV per atom
- D(E_F): 2.30 states/eV/f.u.

Geometry as CIF:
```
data_RePb4Cl
_symmetry_space_group_name_H-M 'F -4 3 m'
_symmetry_Int_Tables_number 216
_symmetry_space_group_name_Hall 'F -4 2 3'
_cell_length_a 8.9682
_cell_length_b 8.9682
_cell_length_c 8.9682
_cell_angle_alpha 90.00
_cell_angle_beta 90.00
_cell_angle_gamma 90.00
loop_
_atom_site_label
_atom_site_fract_x
_atom_site_fract_y
_atom_site_fract_z
_atom_site_occupancy
Re1 0.0000 0.0000 0.0000 1
Pb1 0.1256 0.1256 0.3744 1
Cl1 0.2500 0.2500 0.7500 1
```

---

No. 2
Computed, not measured: a relaxed structure of RePbCl2 at the PBE-GGA level of DFT.

- M_tot: 0.03 μB/f.u.
- Energy relative to the elements, uncorrected: 0.097 eV/atom
- VASP energy: -4.8657 eV per atom
- D(E_F): 2.88 states/eV/f.u.

Geometry as CIF:
```
data_RePbCl2
_symmetry_space_group_name_H-M 'C 1 m 1'
_symmetry_Int_Tables_number 8
_cell_length_a 10.4106
_cell_length_b 3.1995
_cell_length_c 6.8929
_cell_angle_alpha 90.00
_cell_angle_beta 113.90
_cell_angle_gamma 90.00
loop_
_symmetry_equiv_pos_as_xyz
'x,y,z'
'x,-y,z'
'x+1/2,y+1/2,z'
'x+1/2,-y+1/2,z'
loop_
_atom_site_label
_atom_site_fract_x
_atom_site_fract_y
_atom_site_fract_z
_atom_site_occupancy
Re1 0.0000 0.0000 0.0000 1
Pb1 0.2766 0.0000 0.0003 1
Cl1 0.1098 0.5000 0.2926 1
Cl2 0.4520 0.0000 0.7070 1
```

---

No. 3
Computed, not measured: a relaxed structure of RePbCl2 at the PBE-GGA level of DFT.

- M_tot: 0.86 μB/f.u.
- Energy relative to the elements, uncorrected: 0.350 eV/atom
- VASP energy: -4.6122 eV per atom
- D(E_F): 3.04 states/eV/f.u.

Geometry as CIF:
```
data_RePbCl2
_symmetry_space_group_name_H-M 'I -4 2 d'
_symmetry_Int_Tables_number 122
_symmetry_space_group_name_Hall 'I -4 2bw'
_cell_length_a 8.3257
_cell_length_b 8.3257
_cell_length_c 5.4968
_cell_angle_alpha 90.00
_cell_angle_beta 90.00
_cell_angle_gamma 90.00
loop_
_atom_site_label
_atom_site_fract_x
_atom_site_fract_y
_atom_site_fract_z
_atom_site_occupancy
Re1 0.0000 0.0000 0.0000 1
Pb1 0.0000 0.0000 0.5000 1
Cl1 0.1282 0.2500 0.1250 1
```

---

No. 4
Computed, not measured: a relaxed structure of RePbCl2 at the PBE-GGA level of DFT.

- M_tot: 0.00 μB/f.u.
- Energy relative to the elements, uncorrected: 0.413 eV/atom
- VASP energy: -4.5492 eV per atom
- D(E_F): 1.83 states/eV/f.u.

Geometry as CIF:
```
data_RePbCl2
_symmetry_space_group_name_H-M 'I m m 2'
_symmetry_Int_Tables_number 44
_cell_length_a 3.0151
_cell_length_b 4.5271
_cell_length_c 15.0453
_cell_angle_alpha 90.00
_cell_angle_beta 90.00
_cell_angle_gamma 90.00
loop_
_symmetry_equiv_pos_as_xyz
'x,y,z'
'-x,-y,z'
'-x,y,z'
'x,-y,z'
'x+1/2,y+1/2,z+1/2'
'-x+1/2,-y+1/2,z+1/2'
'-x+1/2,y+1/2,z+1/2'
'x+1/2,-y+1/2,z+1/2'
loop_
_atom_site_label
_atom_site_fract_x
_atom_site_fract_y
_atom_site_fract_z
_atom_site_occupancy
Re1 0.0000 0.0000 0.0000 1
Pb1 0.0000 0.5000 0.3303 1
Cl1 0.0000 0.0000 0.4848 1
Cl2 0.0000 0.5000 0.6247 1
```

---

No. 5
Computed, not measured: a relaxed structure of RePbCl2 at the PBE-GGA level of DFT.

- M_tot: 0.64 μB/f.u.
- Energy relative to the elements, uncorrected: 0.191 eV/atom
- VASP energy: -4.7718 eV per atom
- D(E_F): 3.98 states/eV/f.u.

Geometry as CIF:
```
data_RePbCl2
_symmetry_space_group_name_H-M 'I m m m'
_symmetry_Int_Tables_number 71
_symmetry_space_group_name_Hall '-I 2 2'
_cell_length_a 3.1085
_cell_length_b 5.2374
_cell_length_c 12.4597
_cell_angle_alpha 90.00
_cell_angle_beta 90.00
_cell_angle_gamma 90.00
loop_
_atom_site_label
_atom_site_fract_x
_atom_site_fract_y
_atom_site_fract_z
_atom_site_occupancy
Re1 0.0000 0.0000 0.0000 1
Pb1 0.0000 0.0000 0.5000 1
Cl1 0.0000 0.5000 0.3457 1
```

---

No. 6
Computed, not measured: a relaxed structure of RePbCl2 at the PBE-GGA level of DFT.

- M_tot: 3.95 μB/f.u.
- Energy relative to the elements, uncorrected: 0.878 eV/atom
- VASP energy: -4.0841 eV per atom
- D(E_F): 2.71 states/eV/f.u.

Geometry as CIF:
```
data_RePbCl2
_symmetry_space_group_name_H-M 'P 4/m m m'
_symmetry_Int_Tables_number 123
_symmetry_space_group_name_Hall '-P 4 2'
_cell_length_a 4.5836
_cell_length_b 4.5836
_cell_length_c 4.4424
_cell_angle_alpha 90.00
_cell_angle_beta 90.00
_cell_angle_gamma 90.00
loop_
_atom_site_label
_atom_site_fract_x
_atom_site_fract_y
_atom_site_fract_z
_atom_site_occupancy
Re1 0.0000 0.0000 0.0000 1
Pb1 0.5000 0.5000 0.0000 1
Cl1 0.0000 0.5000 0.5000 1
```

---

No. 7
Computed, not measured: a relaxed structure of RePbCl2 at the PBE-GGA level of DFT.

- M_tot: 3.67 μB/f.u.
- Energy relative to the elements, uncorrected: 0.856 eV/atom
- VASP energy: -4.1060 eV per atom
- D(E_F): 2.02 states/eV/f.u.

Geometry as CIF:
```
data_RePbCl2
_symmetry_space_group_name_H-M 'I -4 m 2'
_symmetry_Int_Tables_number 119
_symmetry_space_group_name_Hall 'I -4 -2'
_cell_length_a 4.1373
_cell_length_b 4.1373
_cell_length_c 11.0435
_cell_angle_alpha 90.00
_cell_angle_beta 90.00
_cell_angle_gamma 90.00
loop_
_atom_site_label
_atom_site_fract_x
_atom_site_fract_y
_atom_site_fract_z
_atom_site_occupancy
Re1 0.0000 0.0000 0.0000 1
Pb1 0.0000 0.5000 0.2500 1
Cl1 0.0000 0.0000 0.5000 1
Cl2 0.0000 0.5000 0.7500 1
```

---

No. 8
Computed, not measured: a relaxed structure of RePbCl2 at the PBE-GGA level of DFT.

- M_tot: 3.65 μB/f.u.
- Energy relative to the elements, uncorrected: 0.869 eV/atom
- VASP energy: -4.0936 eV per atom
- D(E_F): 1.47 states/eV/f.u.

Geometry as CIF:
```
data_RePbCl2
_symmetry_space_group_name_H-M 'C m m m'
_symmetry_Int_Tables_number 65
_symmetry_space_group_name_Hall '-C 2 2'
_cell_length_a 6.3912
_cell_length_b 8.8797
_cell_length_c 3.2193
_cell_angle_alpha 90.00
_cell_angle_beta 90.00
_cell_angle_gamma 90.00
loop_
_atom_site_label
_atom_site_fract_x
_atom_site_fract_y
_atom_site_fract_z
_atom_site_occupancy
Re1 0.0000 0.0000 0.0000 1
Pb1 0.0000 0.5000 0.0000 1
Cl1 0.2500 0.2500 0.5000 1
```

---

No. 9
Computed, not measured: a relaxed structure of RePbCl2 at the PBE-GGA level of DFT.

- M_tot: 3.08 μB/f.u.
- Energy relative to the elements, uncorrected: 0.952 eV/atom
- VASP energy: -4.0106 eV per atom
- D(E_F): 4.16 states/eV/f.u.

Geometry as CIF:
```
data_RePbCl2
_symmetry_space_group_name_H-M 'F -4 3 m'
_symmetry_Int_Tables_number 216
_symmetry_space_group_name_Hall 'F -4 2 3'
_cell_length_a 7.0322
_cell_length_b 7.0322
_cell_length_c 7.0322
_cell_angle_alpha 90.00
_cell_angle_beta 90.00
_cell_angle_gamma 90.00
loop_
_atom_site_label
_atom_site_fract_x
_atom_site_fract_y
_atom_site_fract_z
_atom_site_occupancy
Re1 0.0000 0.0000 0.0000 1
Pb1 0.2500 0.2500 0.2500 1
Cl1 0.0000 0.0000 0.5000 1
Cl2 0.2500 0.2500 0.7500 1
```

---

No. 10
Computed, not measured: a relaxed structure of RePbCl at the PBE-GGA level of DFT.

- M_tot: 1.58 μB/f.u.
- Energy relative to the elements, uncorrected: 0.916 eV/atom
- VASP energy: -5.0847 eV per atom
- D(E_F): 2.40 states/eV/f.u.

Geometry as CIF:
```
data_RePbCl
_symmetry_space_group_name_H-M 'P -6 m 2'
_symmetry_Int_Tables_number 187
_symmetry_space_group_name_Hall 'P -6 2'
_cell_length_a 4.6221
_cell_length_b 4.6221
_cell_length_c 3.1948
_cell_angle_alpha 90.00
_cell_angle_beta 90.00
_cell_angle_gamma 120.00
loop_
_atom_site_label
_atom_site_fract_x
_atom_site_fract_y
_atom_site_fract_z
_atom_site_occupancy
Re1 0.0000 0.0000 0.0000 1
Pb1 0.3333 0.6667 0.5000 1
Cl1 0.6667 0.3333 0.0000 1
```

---

No. 11
Computed, not measured: a relaxed structure of RePbCl6 at the PBE-GGA level of DFT.

- M_tot: 3.00 μB/f.u.
- Energy relative to the elements, uncorrected: -0.805 eV/atom
- VASP energy: -4.2091 eV per atom

Geometry as CIF:
```
data_RePbCl6
_symmetry_space_group_name_H-M 'C 1 2/c 1'
_symmetry_Int_Tables_number 15
_cell_length_a 10.9550
_cell_length_b 8.0022
_cell_length_c 10.2398
_cell_angle_alpha 90.00
_cell_angle_beta 91.30
_cell_angle_gamma 90.00
loop_
_symmetry_equiv_pos_as_xyz
'x,y,z'
'-x,-y,-z'
'-x,y,-z+1/2'
'x,-y,z+1/2'
'x+1/2,y+1/2,z'
'-x+1/2,-y+1/2,-z'
'-x+1/2,y+1/2,-z+1/2'
'x+1/2,-y+1/2,z+1/2'
loop_
_atom_site_label
_atom_site_fract_x
_atom_site_fract_y
_atom_site_fract_z
_atom_site_occupancy
Re1 0.2500 0.2500 0.0000 1
Pb1 0.0000 0.0202 0.2500 1
Cl1 0.0692 0.3290 0.1057 1
Cl2 0.1538 0.2900 0.7937 1
Cl3 0.1740 0.0300 0.4998 1
```

---

No. 12
Computed, not measured: a relaxed structure of RePbCl at the PBE-GGA level of DFT.

- M_tot: 1.97 μB/f.u.
- Energy relative to the elements, uncorrected: 1.116 eV/atom
- VASP energy: -4.8848 eV per atom
- D(E_F): 1.69 states/eV/f.u.

Geometry as CIF:
```
data_RePbCl
_symmetry_space_group_name_H-M 'F -4 3 m'
_symmetry_Int_Tables_number 216
_symmetry_space_group_name_Hall 'F -4 2 3'
_cell_length_a 6.6145
_cell_length_b 6.6145
_cell_length_c 6.6145
_cell_angle_alpha 90.00
_cell_angle_beta 90.00
_cell_angle_gamma 90.00
loop_
_atom_site_label
_atom_site_fract_x
_atom_site_fract_y
_atom_site_fract_z
_atom_site_occupancy
Re1 0.0000 0.0000 0.0000 1
Pb1 0.2500 0.2500 0.7500 1
Cl1 0.2500 0.2500 0.2500 1
```

---

No. 13
Computed, not measured: a relaxed structure of RePbCl2 at the PBE-GGA level of DFT.

- M_tot: 0.82 μB/f.u.
- Energy relative to the elements, uncorrected: 0.708 eV/atom
- VASP energy: -4.2543 eV per atom
- D(E_F): 3.46 states/eV/f.u.

Geometry as CIF:
```
data_RePbCl2
_symmetry_space_group_name_H-M 'P 4/m m m'
_symmetry_Int_Tables_number 123
_symmetry_space_group_name_Hall '-P 4 2'
_cell_length_a 3.0869
_cell_length_b 3.0869
_cell_length_c 9.9697
_cell_angle_alpha 90.00
_cell_angle_beta 90.00
_cell_angle_gamma 90.00
loop_
_atom_site_label
_atom_site_fract_x
_atom_site_fract_y
_atom_site_fract_z
_atom_site_occupancy
Re1 0.0000 0.0000 0.0000 1
Pb1 0.0000 0.0000 0.5000 1
Cl1 0.5000 0.5000 0.1485 1
```

---

No. 14
Computed, not measured: a relaxed structure of RePbCl2 at the PBE-GGA level of DFT.

- M_tot: 0.87 μB/f.u.
- Energy relative to the elements, uncorrected: 0.174 eV/atom
- VASP energy: -4.7883 eV per atom
- D(E_F): 2.77 states/eV/f.u.

Geometry as CIF:
```
data_RePbCl2
_symmetry_space_group_name_H-M 'C m m m'
_symmetry_Int_Tables_number 65
_symmetry_space_group_name_Hall '-C 2 2'
_cell_length_a 5.4722
_cell_length_b 11.2103
_cell_length_c 3.5278
_cell_angle_alpha 90.00
_cell_angle_beta 90.00
_cell_angle_gamma 90.00
loop_
_atom_site_label
_atom_site_fract_x
_atom_site_fract_y
_atom_site_fract_z
_atom_site_occupancy
Re1 0.0000 0.0000 0.0000 1
Pb1 0.0000 0.5000 0.0000 1
Cl1 0.0000 0.1483 0.5000 1
```

---

No. 15
Computed, not measured: a relaxed structure of RePbCl at the PBE-GGA level of DFT.

- M_tot: 0.00 μB/f.u.
- Energy relative to the elements, uncorrected: 0.613 eV/atom
- VASP energy: -5.3875 eV per atom
- D(E_F): 2.43 states/eV/f.u.

Geometry as CIF:
```
data_RePbCl
_symmetry_space_group_name_H-M 'F m m 2'
_symmetry_Int_Tables_number 42
_symmetry_space_group_name_Hall 'F 2 -2'
_cell_length_a 3.0339
_cell_length_b 5.5784
_cell_length_c 16.1994
_cell_angle_alpha 90.00
_cell_angle_beta 90.00
_cell_angle_gamma 90.00
loop_
_atom_site_label
_atom_site_fract_x
_atom_site_fract_y
_atom_site_fract_z
_atom_site_occupancy
Re1 0.0000 0.0000 0.0000 1
Pb1 0.0000 0.0000 0.3417 1
Cl1 0.0000 0.0000 0.6128 1
```

---

No. 16
Computed, not measured: a relaxed structure of RePbCl2 at the PBE-GGA level of DFT.

- M_tot: 3.55 μB/f.u.
- Energy relative to the elements, uncorrected: 0.963 eV/atom
- VASP energy: -3.9990 eV per atom
- D(E_F): 3.26 states/eV/f.u.

Geometry as CIF:
```
data_RePbCl2
_symmetry_space_group_name_H-M 'P 4/m m m'
_symmetry_Int_Tables_number 123
_symmetry_space_group_name_Hall '-P 4 2'
_cell_length_a 5.1401
_cell_length_b 5.1401
_cell_length_c 3.3778
_cell_angle_alpha 90.00
_cell_angle_beta 90.00
_cell_angle_gamma 90.00
loop_
_atom_site_label
_atom_site_fract_x
_atom_site_fract_y
_atom_site_fract_z
_atom_site_occupancy
Re1 0.0000 0.0000 0.0000 1
Pb1 0.5000 0.5000 0.0000 1
Cl1 0.0000 0.5000 0.5000 1
```

---

No. 17
Computed, not measured: a relaxed structure of RePbCl at the PBE-GGA level of DFT.

- M_tot: 0.00 μB/f.u.
- Energy relative to the elements, uncorrected: 0.741 eV/atom
- VASP energy: -5.2598 eV per atom
- D(E_F): 1.11 states/eV/f.u.

Geometry as CIF:
```
data_RePbCl
_symmetry_space_group_name_H-M 'I 4 m m'
_symmetry_Int_Tables_number 107
_symmetry_space_group_name_Hall 'I 4 -2'
_cell_length_a 3.0865
_cell_length_b 3.0865
_cell_length_c 14.4573
_cell_angle_alpha 90.00
_cell_angle_beta 90.00
_cell_angle_gamma 90.00
loop_
_atom_site_label
_atom_site_fract_x
_atom_site_fract_y
_atom_site_fract_z
_atom_site_occupancy
Re1 0.0000 0.0000 0.0000 1
Pb1 0.0000 0.0000 0.6479 1
Cl1 0.0000 0.0000 0.4036 1
```

---

No. 18
Computed, not measured: a relaxed structure of RePbCl2 at the PBE-GGA level of DFT.

- M_tot: 4.36 μB/f.u.
- Energy relative to the elements, uncorrected: 0.868 eV/atom
- VASP energy: -4.0948 eV per atom
- D(E_F): 2.37 states/eV/f.u.

Geometry as CIF:
```
data_RePbCl2
_symmetry_space_group_name_H-M 'I 4/m m m'
_symmetry_Int_Tables_number 139
_symmetry_space_group_name_Hall '-I 4 2'
_cell_length_a 4.6211
_cell_length_b 4.6211
_cell_length_c 8.8411
_cell_angle_alpha 90.00
_cell_angle_beta 90.00
_cell_angle_gamma 90.00
loop_
_atom_site_label
_atom_site_fract_x
_atom_site_fract_y
_atom_site_fract_z
_atom_site_occupancy
Re1 0.0000 0.0000 0.0000 1
Pb1 0.0000 0.0000 0.5000 1
Cl1 0.0000 0.5000 0.2500 1
```

---

No. 19
Computed, not measured: a relaxed structure of RePbCl4 at the PBE-GGA level of DFT.

- M_tot: 4.43 μB/f.u.
- Energy relative to the elements, uncorrected: 1.021 eV/atom
- VASP energy: -2.9024 eV per atom
- D(E_F): 4.52 states/eV/f.u.

Geometry as CIF:
```
data_RePbCl4
_symmetry_space_group_name_H-M 'F -4 3 m'
_symmetry_Int_Tables_number 216
_symmetry_space_group_name_Hall 'F -4 2 3'
_cell_length_a 8.4593
_cell_length_b 8.4593
_cell_length_c 8.4593
_cell_angle_alpha 90.00
_cell_angle_beta 90.00
_cell_angle_gamma 90.00
loop_
_atom_site_label
_atom_site_fract_x
_atom_site_fract_y
_atom_site_fract_z
_atom_site_occupancy
Re1 0.0000 0.0000 0.0000 1
Pb1 0.2500 0.2500 0.2500 1
Cl1 0.1253 0.1253 0.6253 1
```

---

No. 20
Computed, not measured: a relaxed structure of ReRhPb2Cl at the PBE-GGA level of DFT.

- M_tot: 2.14 μB/f.u.
- Energy relative to the elements, uncorrected: 0.809 eV/atom
- VASP energy: -5.0037 eV per atom
- D(E_F): 4.30 states/eV/f.u.

Geometry as CIF:
```
data_ReRhPb2Cl
_symmetry_space_group_name_H-M 'P 4/m m m'
_symmetry_Int_Tables_number 123
_symmetry_space_group_name_Hall '-P 4 2'
_cell_length_a 5.4641
_cell_length_b 5.4641
_cell_length_c 4.7506
_cell_angle_alpha 90.00
_cell_angle_beta 90.00
_cell_angle_gamma 90.00
loop_
_atom_site_label
_atom_site_fract_x
_atom_site_fract_y
_atom_site_fract_z
_atom_site_occupancy
Re1 0.0000 0.0000 0.0000 1
Rh1 0.0000 0.0000 0.5000 1
Pb1 0.0000 0.5000 0.5000 1
Cl1 0.5000 0.5000 0.0000 1
```